Entry 1:
This record from the Alexandria database describes a geometry-optimized Sm8Sb3Te4 structure. The functional is PBE-GGA.

Its density of states at the Fermi level is 0.550 states/eV per atom. The calculation puts the raw formation energy at -1189 meV/atom.

The structure belongs to space group C2/m (No. 12); the cell edges are 12.479, 12.495 and 8.825 Å and the angles 90.00°, 134.88° and 90.00°. Symmetry generates all atoms from Sm at (0.000, 0.247, 0.000), Sm at (0.000, 0.248, 0.500), Sm at (0.243, 0.000, 0.496), Sm at (0.247, 0.000, 0.999), Sb at (0.000, 0.000, 0.000), Sb at (0.250, 0.250, 0.500), Te at (0.000, 0.500, 0.000), Te at (0.000, 0.500, 0.500) and Te at (0.250, 0.250, 0.000).



Entry 2:
This record from the Alexandria database describes a geometry-optimized Sm2SbTe structure. The functional is PBE-GGA.

For the energy relative to the lowest polymorph listed for this composition, the calculation gives 0.0000 eV per atom. Its density of states at the Fermi level is 0.348 states/eV per atom. The calculation puts the raw formation energy at -1326 meV/atom.

The structure belongs to space group Pmmn (No. 59, origin choice 2); the cell edges are 4.459, 6.306 and 8.939 Å and the angles 90.00°, 90.00° and 90.00°. Symmetry generates all atoms from Sm at (0.250, 0.250, 0.118), Sm at (0.250, 0.250, 0.635), Sb at (0.250, 0.750, 0.125) and Te at (0.250, 0.750, 0.622).



Entry 3:
This record from the Alexandria database describes a geometry-optimized Sm2SbTe structure. The functional is PBE-GGA.

For the energy relative to the lowest polymorph listed for this composition, the calculation gives 0.0012 eV per atom. Its density of states at the Fermi level is 0.428 states/eV per atom. The calculation puts the raw formation energy at -1324 meV/atom.

The structure belongs to space group R-3m (No. 166, hexagonal axes); the cell edges are 4.4571, 4.4571 and 21.9394 Å and the angles 90.00°, 90.00° and 120.00°. Symmetry generates all atoms from Sm at (0.0000, 0.0000, 0.2464), Sb at (0.0000, 0.0000, 0.5000) and Te at (0.0000, 0.0000, 0.0000).